## CaAgAs2 (PBE)

Data for crystalline CaAgAs2 at its relaxed geometry.

The structure belongs to space group I-42d (No. 122); the cell edges are 4.783, 4.783 and 17.861 Å and the angles 90.00°, 90.00° and 90.00°. The inequivalent atoms are Ca at (0.000, 0.000, 0.000), Ag at (0.000, 0.000, 0.500) and As at (0.135, 0.250, 0.625).

As for the spin magnetization: 0.00 μB/f.u. The total DFT energy (no corrections) is -61.626 eV for the cell shown.


## LaCeThTl (PBE)

Data for crystalline LaCeThTl at its relaxed geometry.

The structure belongs to space group F-43m (No. 216); the cell edges are 7.900, 7.900 and 7.900 Å and the angles 90.00°, 90.00° and 90.00°. The inequivalent atoms are La at (0.000, 0.000, 0.000), Ce at (0.000, 0.000, 0.500), Th at (0.250, 0.250, 0.250) and Tl at (0.250, 0.250, 0.750).

As for the spin magnetization: 1.09 μB/f.u. The total DFT energy (no corrections) is -81.685 eV for the cell shown.


## CaHBr (PBE)

Data for crystalline CaHBr at its relaxed geometry.

The structure belongs to space group Cm (No. 8); the cell edges are 11.125, 3.961 and 6.139 Å and the angles 90.00°, 105.92° and 90.00°. The inequivalent atoms are Ca at (0.000, 0.000, 0.000), Ca at (0.174, 0.500, 0.462), H at (0.062, 0.500, 0.104), H at (0.167, 0.000, 0.301), Br at (0.271, 0.000, 0.860) and Br at (0.447, 0.500, 0.488).

As for the spin magnetization: 0.00 μB/f.u. The total DFT energy (no corrections) is -43.114 eV for the cell shown.


## Rb2MgHg2 (PBE)

Data for crystalline Rb2MgHg2 at its relaxed geometry.

The structure belongs to space group P4/mbm (No. 127); the cell edges are 8.059, 8.059 and 5.902 Å and the angles 90.00°, 90.00° and 90.00°. The inequivalent atoms are Rb at (0.175, 0.325, 0.000), Mg at (0.000, 0.000, 0.500) and Hg at (0.139, 0.639, 0.500).

As for the spin magnetization: 0.00 μB/f.u. The total DFT energy (no corrections) is -9.367 eV for the cell shown.